In3ReHg | PBE | relaxed

Formation energy from the elements   1.4910 eV/atom
Fermi-level density of states   0.593 states/eV/atom
Excess energy over the best structure of this formula in the dataset   5.34 eV per formula unit
Total DFT energy (no corrections)   -2.70 eV/atom

The structure in CIF format:
```
data_In3ReHg
_chemical_formula_sum 'In3 Re1 Hg1'
_cell_length_a 5.4152
_cell_length_b 5.4152
_cell_length_c 5.4152
_cell_angle_alpha 90.00
_cell_angle_beta 90.00
_cell_angle_gamma 90.00
_space_group_name_H-M_alt 'P 1'
_space_group_IT_number 1
_space_group_name_Hall 'P 1'
loop_
_atom_site_label
_atom_site_type_symbol
_atom_site_fract_x
_atom_site_fract_y
_atom_site_fract_z
In1 In 0.0000 0.0000 0.5000
Re1 Re 0.5000 0.5000 0.5000
In2 In 0.0000 0.5000 0.0000
Hg1 Hg 0.0000 0.0000 0.0000
In3 In 0.5000 0.0000 0.0000
```